Entry 1:
LaIn2P: relaxed, PBE.

abc: 6.6937 6.6937 6.6937
angles: 101.73 101.73 126.40
Closest atoms and distances in Å follow each position.
Positions (direct):
La (0.0000, 0.0000, 0.0000)  2 P 3.02
La (0.7500, 0.2500, 0.5000)  2 P 3.02
In (0.1793, 0.6250, 0.0543)  2 P 2.79
In (0.3750, 0.4293, 0.5543)  2 P 2.79
In (0.5707, 0.1250, 0.9457)  2 P 2.79
In (0.8750, 0.8207, 0.4457)  2 P 2.79
P (0.2500, 0.7500, 0.5000)  4 In 2.79, 2 La 3.02
P (0.5000, 0.5000, 0.0000)  4 In 2.79, 2 La 3.02

## Properties
ΔE_f ... -1.6 eV per formula unit
Space-group type ... No. 122

---

Entry 2:
ZnAg2Ru: relaxed, PBE.

abc: 2.7472 2.7472 9.5480
angles: 90.00 90.00 117.02
Closest atoms and distances in Å follow each position.
Positions (direct):
Zn (0.0000, 0.0000, 0.0000)  4 Ag 2.74, 6 Zn 2.75-2.87
Ag (0.5000, 0.5000, 0.2446)  2 Zn 2.74, 6 Ag 2.75-2.87, 2 Ru 2.83
Ag (0.5000, 0.5000, 0.7554)  2 Zn 2.74, 6 Ag 2.75-2.87, 2 Ru 2.83
Ru (0.0000, 0.0000, 0.5000)  6 Ru 2.75-2.87, 4 Ag 2.83

## Properties
ΔE_f ... 1.3 eV per formula unit
Space-group type ... No. 65

---

Entry 3:
ErTmMgCo: relaxed, PBE.

abc: 4.9584 4.9584 4.9584
angles: 60.00 60.00 60.00
Closest atoms and distances in Å follow each position.
Positions (direct):
Er (0.0000, 0.0000, 0.0000)  4 Mg 3.04, 4 Co 3.04
Tm (0.5000, 0.5000, 0.5000)  4 Co 3.04, 4 Mg 3.04
Mg (0.7500, 0.7500, 0.7500)  4 Er 3.04, 4 Tm 3.04
Co (0.2500, 0.2500, 0.2500)  4 Er 3.04, 4 Tm 3.04

## Properties
ΔE_f ... -0.1 eV per formula unit
Space-group type ... No. 216
Offset from the most stable computed form ... 139 meV per atom